# LiZn2Te, relaxed, DFT GGA-PBE
# ΔE_f (raw) = 0.20 eV per formula unit
# Final energy = -1.8499 eV/atom
# ρ = 5.3 g/cm³
# Total magnetic moment = 0.00 μB/cell
data_LiZn2Te
_cell_length_a 3.967
_cell_length_b 4.875
_cell_length_c 8.671
_cell_angle_alpha 90.00
_cell_angle_beta 90.00
_cell_angle_gamma 90.00
_space_group_name_H-M_alt 'C m m m'
_space_group_IT_number 65
_space_group_name_Hall '-C 2 2'
loop_
_atom_site_label
_atom_site_fract_x
_atom_site_fract_y
_atom_site_fract_z
Li1 0.000 0.000 0.000
Zn1 0.000 0.500 0.216
Te1 0.000 0.000 0.500